A plane-wave DFT calculation with PBE was carried out for a relaxed Y2ErFe crystal.

Computed properties:
Total DFT energy (no corrections) (eV/cell): -103.9
Calculated formation energy (eV/atom): -0.006
Symmetry: Pnma
Energy above the lowest structure with this stoichiometry (meV/atom): 0

abc: 6.268 7.066 9.178
angles: 90.00 90.00 90.00
Sites, in units of the cell vectors:
Y 0.174 0.674 0.067
Y 0.326 0.174 0.433
Y 0.826 0.326 0.567
Y 0.674 0.826 0.933
Y 0.826 0.326 0.933
Y 0.674 0.826 0.567
Y 0.174 0.674 0.433
Y 0.326 0.174 0.067
Er 0.641 0.550 0.250
Er 0.859 0.050 0.250
Er 0.359 0.450 0.750
Er 0.141 0.950 0.750
Fe 0.026 0.388 0.250
Fe 0.474 0.888 0.250
Fe 0.974 0.612 0.750
Fe 0.526 0.112 0.750